*1*
VASP calculation (PBE) on an optimized crystal structure of ZrZnP2.

- crystal system = trigonal

a b c (Å): 6.456 6.456 6.456
angles (deg): 33.53 33.53 33.53
Positions (direct):
Zr 0.000 0.000 0.000
Zn 0.500 0.500 0.500
P 0.247 0.247 0.247
P 0.753 0.753 0.753

---

*2*
VASP calculation (PBE) on an optimized crystal structure of ZrZnP2.

- crystal system = cubic

a b c (Å): 4.562 4.562 4.562
angles (deg): 60.00 60.00 60.00
Positions (direct):
Zr 0.000 0.000 0.000
Zn 0.750 0.750 0.750
P 0.250 0.250 0.250
P 0.500 0.500 0.500

---

Best to worst by energy: *1*, *2*.